1.
The following is a DFT calculation (PBE) of an optimized crystal structure of Ca2SiPt6.

Geometry as POSCAR:
```
Ca2SiPt6
1.0
5.6242 0.0000 0.0000
-2.8121 4.7231 1.1280
0.0000 0.1318 6.1363
Pt Ca Si
6 2 1
Direct
0.1169 0.2337 0.3042
0.6090 0.7297 0.3043
0.3910 0.2703 0.6957
0.1207 0.7297 0.3043
0.8831 0.7663 0.6958
0.8793 0.2703 0.6957
0.6433 0.2866 0.1461
0.3567 0.7134 0.8539
0.0000 0.0000 0.0000
```

- V (Å³/cell) = 162.2
- uncorrected formation energy (kcal/mol of atoms) = -19.4


2.
The following is a DFT calculation (PBE) of an optimized crystal structure of PaP4Ru6.

Geometry as POSCAR:
```
PaP4Ru6
1.0
3.8030 0.0000 0.0000
0.0000 5.9713 -3.4475
0.0000 0.0000 6.8951
Pa P Ru
1 4 6
Direct
0.0000 0.0000 0.0000
0.5000 0.8050 0.1950
0.5000 0.8050 0.6100
0.5000 0.3900 0.1950
0.0000 0.3333 0.6667
0.5000 0.1963 0.3925
0.0000 0.5316 0.4684
0.0000 0.9368 0.4684
0.0000 0.5316 0.0632
0.5000 0.1963 0.8037
0.5000 0.6075 0.8037
```

- V (Å³/cell) = 156.6
- formation energy from the elements (eV per atom) = -0.78


3.
The following is a DFT calculation (PBE) of an optimized crystal structure of Pm3TmGe2C.

Geometry as POSCAR:
```
Pm3TmGe2C
1.0
4.6864 0.0000 0.0000
0.0000 4.8345 0.0000
-2.3432 -2.4172 7.8332
Pm Tm C Ge
3 1 1 2
Direct
0.8316 0.8316 0.6632
0.1684 0.1684 0.3368
0.0000 0.5000 0.0000
0.5000 0.0000 0.0000
0.0000 0.0000 0.0000
0.6351 0.6351 0.2702
0.3649 0.3649 0.7298
```

- V (Å³/cell) = 177.5
- formation energy from the elements (eV per atom) = -0.60


4.
The following is a DFT calculation (PBE) of an optimized crystal structure of Th4SnHg.

Geometry as POSCAR:
```
Th4SnHg
1.0
-4.5414 2.4039 3.3105
-2.8213 -7.0848 1.2742
4.3382 -0.5813 6.3734
Hg Sn Th
2 2 8
Direct
0.2500 0.0000 0.0000
0.7500 0.0000 0.0000
0.2500 0.5000 0.5000
0.7500 0.5000 0.5000
0.5000 0.8472 0.6546
0.0000 0.6546 0.8472
0.5000 0.6546 0.1528
0.0000 0.1528 0.6546
0.5000 0.1528 0.3454
0.0000 0.8472 0.3454
0.5000 0.3454 0.8472
0.0000 0.3454 0.1528
```

- V (Å³/cell) = 365.4
- formation energy from the elements (eV per atom) = -0.28
- excess energy over the best structure of this formula in the dataset (meV per atom) = 0


5.
The following is a DFT calculation (PBE) of an optimized crystal structure of KTl3Sn2.

Geometry as POSCAR:
```
KTl3Sn2
1.0
6.6216 0.0000 0.0000
0.0000 7.8030 0.7901
0.0000 -1.8295 7.6265
Sn K Tl
4 2 6
Direct
0.0000 0.2370 0.7630
0.0000 0.7630 0.2370
0.5000 0.2370 0.7630
0.5000 0.7630 0.2370
0.2500 0.3692 0.3692
0.7500 0.6308 0.6308
0.2500 0.0333 0.0333
0.2500 0.8898 0.5910
0.7500 0.1102 0.4090
0.2500 0.5910 0.8898
0.7500 0.4090 0.1102
0.7500 0.9667 0.9667
```

- V (Å³/cell) = 403.6
- formation energy from the elements (eV per atom) = -0.02
- excess energy over the best structure of this formula in the dataset (meV per atom) = 53


6.
The following is a DFT calculation (PBE) of an optimized crystal structure of Zn2OsSe.

Geometry as POSCAR:
```
Zn2OsSe
1.0
4.7975 -0.0472 -0.0030
-1.6226 4.5150 -0.0030
0.0025 0.0035 2.8566
Zn Se Os
2 1 1
Direct
0.5000 0.5000 0.0000
0.0000 0.0000 0.0000
0.0000 0.5000 0.5000
0.5000 0.0000 0.5000
```

- V (Å³/cell) = 61.7
- uncorrected formation energy (kcal/mol of atoms) = 7.9


7.
The following is a DFT calculation (PBE) of an optimized crystal structure of La3Si2SbPd9.

Geometry as POSCAR:
```
La3Si2SbPd9
1.0
6.5011 0.0000 0.0000
-3.2505 5.6301 0.0000
0.0000 0.0000 8.9944
La Sb Pd Si
3 1 9 2
Direct
0.3333 0.6667 0.6951
0.6667 0.3333 0.3049
0.0000 0.0000 0.0000
0.0000 0.0000 0.5000
0.2964 0.1482 0.7260
0.1482 0.2964 0.2740
0.5000 0.0000 0.0000
0.5000 0.5000 0.0000
0.8518 0.7036 0.7260
0.7036 0.8518 0.2740
0.0000 0.5000 0.0000
0.1482 0.8518 0.2740
0.8518 0.1482 0.7260
0.3333 0.6667 0.1679
0.6667 0.3333 0.8321
```

- V (Å³/cell) = 329.2
- uncorrected formation energy (kcal/mol of atoms) = -15.8


8.
The following is a DFT calculation (PBE) of an optimized crystal structure of LaSiSeN2.

Geometry as POSCAR:
```
LaSiSeN2
1.0
4.1891 0.0000 0.0000
0.0000 4.1891 0.0000
0.0000 0.0000 6.3198
La N Se Si
1 2 1 1
Direct
0.0000 0.0000 0.0000
0.0000 0.5000 0.0000
0.5000 0.0000 0.0000
0.0000 0.0000 0.5000
0.5000 0.5000 0.5000
```

- V (Å³/cell) = 110.9
- excess energy over the best structure of this formula in the dataset (meV per atom) = 1160
- uncorrected formation energy (kcal/mol of atoms) = 20.7